First-principles (GGA-PBE) data for a relaxed structure of YMnSi2B6, as listed in Alexandria via LeMat-Bulk.

Geometry as POSCAR:
```
YMnSi2B6
1.0
-5.797 -0.264 -3.373
1.803 -5.228 3.803
-2.501 2.202 4.172
B Mn Y Si
12 2 2 4
Direct
0.546 0.713 0.745
0.260 0.213 0.988
0.740 0.787 0.012
0.213 0.260 0.488
0.143 0.618 0.813
0.287 0.454 0.755
0.787 0.740 0.512
0.713 0.546 0.245
0.382 0.857 0.687
0.857 0.382 0.187
0.618 0.143 0.313
0.454 0.287 0.255
0.099 0.901 0.750
0.901 0.099 0.250
0.152 0.848 0.250
0.848 0.152 0.750
0.458 0.203 0.650
0.203 0.458 0.150
0.542 0.797 0.350
0.797 0.542 0.850
```

Calculated volume in Å³ per cell: 210.2
D(E_F) in states/eV per cell: 6.9
Spin magnetization in μB per cell: 2.15
Formation energy (no corrections) in eV per atom: 0.16